Record 1
The following is a DFT calculation (PBE) of an optimized crystal structure of MgSi2.

```
12
Lattice="4.545 0.000 0.000 -0.127 6.195 0.000 -1.927 -1.118 7.867" Properties=species:S:1:pos:R:3 pbc="T T T"
Mg 0.000 0.000 0.000
Mg -0.525 4.766 3.288
Mg 0.221 2.007 4.830
Mg 0.298 0.841 7.753
Si -0.089 3.534 0.757
Si -0.142 1.607 2.227
Si 0.235 4.441 6.367
Si 2.168 4.610 0.836
Si 2.175 0.420 2.279
Si 1.776 -0.328 4.624
Si 2.549 3.720 5.430
Si 2.548 1.356 6.330
```

Calculated values
- symmetry = No. 1
- magnetization (μB/cell) = 0.00
- uncorrected formation energy (meV per atom) = 180
- distance to the lowest polymorph of the same formula (meV/atom) = 156
- density of states at the Fermi level (states/eV per atom) = 0.327


Record 2
The following is a DFT calculation (PBE) of an optimized crystal structure of MgSi2.

```
12
Lattice="5.130 -1.875 0.000 5.130 1.875 0.000 -2.762 0.000 12.003" Properties=species:S:1:pos:R:3 pbc="T T T"
Mg 0.000 0.000 0.000
Mg 3.996 0.000 5.566
Mg 4.751 0.000 8.452
Mg 8.716 0.000 2.872
Si -2.089 0.000 9.404
Si 1.456 0.000 2.232
Si -0.103 0.000 10.749
Si 0.935 0.000 6.716
Si 1.678 0.000 9.080
Si 5.751 0.000 3.465
Si 7.539 0.000 0.282
Si 7.022 0.000 5.513
```

Calculated values
- symmetry = No. 8
- magnetization (μB/cell) = 0.00
- uncorrected formation energy (meV per atom) = 133
- distance to the lowest polymorph of the same formula (meV/atom) = 109
- density of states at the Fermi level (states/eV per atom) = 0.157


Record 3
The following is a DFT calculation (PBE) of an optimized crystal structure of Mg5Si9.

```
28
Lattice="7.366 0.000 0.000 -3.257 6.653 0.000 -0.143 -1.993 10.170" Properties=species:S:1:pos:R:3 pbc="T T T"
Mg 0.000 0.000 0.000
Mg -2.281 3.361 6.128
Mg 0.341 1.827 6.774
Mg 1.696 -0.462 5.092
Mg -0.436 5.879 1.663
Mg 2.242 -0.249 9.622
Mg 0.812 4.368 4.327
Mg 2.390 2.350 2.575
Mg 5.108 1.392 1.560
Mg 5.753 0.671 9.011
Si -1.168 1.673 4.192
Si 0.174 -0.915 7.471
Si 0.173 0.168 2.863
Si -1.575 3.756 2.874
Si -1.240 3.616 8.682
Si 0.163 2.763 1.177
Si 0.676 2.243 9.568
Si 0.130 4.886 7.053
Si 2.698 2.178 5.418
Si 1.118 4.610 9.500
Si 3.998 0.607 3.942
Si 3.759 0.658 7.061
Si 3.064 2.202 8.795
Si 2.488 5.283 2.023
Si 2.489 4.092 7.368
Si 4.118 3.889 0.882
Si 5.760 -0.261 5.785
Si 3.668 4.763 4.106
```

Calculated values
- symmetry = No. 1
- magnetization (μB/cell) = 0.00
- uncorrected formation energy (meV per atom) = 150
- distance to the lowest polymorph of the same formula (meV/atom) = 52
- density of states at the Fermi level (states/eV per atom) = 0.326


Record 4
The following is a DFT calculation (PBE) of an optimized crystal structure of Mg5Si9.

```
28
Lattice="7.378 0.000 0.000 3.401 6.630 0.000 1.062 -0.508 10.433" Properties=species:S:1:pos:R:3 pbc="T T T"
Mg 0.000 0.000 0.000
Mg 3.081 3.725 8.876
Mg 3.886 6.033 4.288
Mg 2.915 0.874 6.762
Mg 2.457 0.900 2.391
Mg 5.793 3.742 6.436
Mg 4.881 1.994 0.749
Mg 7.322 5.614 0.588
Mg 8.013 2.067 8.761
Mg 8.565 3.117 4.138
Si 4.013 6.025 7.228
Si 3.022 3.945 6.158
Si 3.274 1.076 9.978
Si 3.889 2.509 4.347
Si 4.812 4.817 1.521
Si 5.829 3.858 9.492
Si 5.033 1.781 8.403
Si 6.669 5.375 4.199
Si 5.797 3.392 3.188
Si 5.369 0.784 5.258
Si 7.818 4.757 8.343
Si 5.154 -0.060 2.919
Si 8.252 5.202 6.041
Si 6.211 -0.235 8.891
Si 7.513 1.498 6.075
Si 7.154 1.627 2.301
Si 8.452 3.194 0.956
Si 9.883 4.699 2.172
```

Calculated values
- symmetry = No. 1
- magnetization (μB/cell) = 0.00
- uncorrected formation energy (meV per atom) = 123
- distance to the lowest polymorph of the same formula (meV/atom) = 26
- density of states at the Fermi level (states/eV per atom) = 0.246


Record 5
The following is a DFT calculation (PBE) of an optimized crystal structure of MgSi2.

```
12
Lattice="4.900 -1.781 0.000 4.900 1.781 0.000 -3.152 0.000 12.076" Properties=species:S:1:pos:R:3 pbc="T T T"
Mg 0.000 0.000 0.000
Mg -0.430 0.000 5.082
Mg 3.703 0.000 2.414
Mg 2.769 0.000 9.731
Si 0.977 0.000 2.560
Si -0.291 0.000 11.110
Si 0.704 0.000 7.662
Si 3.433 0.000 7.052
Si 6.990 0.000 0.699
Si 6.729 0.000 3.919
Si 5.491 0.000 9.537
Si 6.730 0.000 6.323
```

Calculated values
- symmetry = No. 8
- magnetization (μB/cell) = 0.00
- uncorrected formation energy (meV per atom) = 151
- distance to the lowest polymorph of the same formula (meV/atom) = 128
- density of states at the Fermi level (states/eV per atom) = 0.233


Record 6
The following is a DFT calculation (PBE) of an optimized crystal structure of Mg5Si9.

```
28
Lattice="6.563 0.000 0.000 2.772 6.847 0.000 2.412 0.809 12.144" Properties=species:S:1:pos:R:3 pbc="T T T"
Mg 0.000 0.000 0.000
Mg 2.937 3.101 9.601
Mg 3.420 4.715 4.280
Mg 4.974 5.411 10.271
Mg 2.717 0.969 4.445
Mg 2.645 1.687 0.012
Mg 4.790 2.612 2.110
Mg 5.691 2.272 5.339
Mg 7.857 6.244 6.083
Mg 6.882 4.627 3.638
Si 0.885 0.894 2.392
Si 4.092 6.403 6.481
Si 2.085 3.003 2.394
Si 2.604 0.916 7.946
Si 3.379 2.712 6.554
Si 4.450 4.448 7.760
Si 4.781 5.599 2.052
Si 7.631 6.877 10.969
Si 7.217 6.486 8.698
Si 6.784 4.189 8.142
Si 6.949 3.373 10.417
Si 6.928 6.539 1.494
Si 8.119 4.787 12.041
Si 6.364 1.022 7.802
Si 5.391 0.276 3.495
Si 7.040 0.964 10.114
Si 7.831 3.606 6.041
Si 7.971 4.445 0.577
```

Calculated values
- symmetry = No. 1
- magnetization (μB/cell) = 0.00
- uncorrected formation energy (meV per atom) = 141
- distance to the lowest polymorph of the same formula (meV/atom) = 43
- density of states at the Fermi level (states/eV per atom) = 0.193


Q: Among the records above, which one has the lowest uncorrected formation energy?
A: number 4


What did the fourth record say?
The following is a DFT calculation (PBE) of an optimized crystal structure of Mg5Si9.

```
28
Lattice="7.378 0.000 0.000 3.401 6.630 0.000 1.062 -0.508 10.433" Properties=species:S:1:pos:R:3 pbc="T T T"
Mg 0.000 0.000 0.000
Mg 3.081 3.725 8.876
Mg 3.886 6.033 4.288
Mg 2.915 0.874 6.762
Mg 2.457 0.900 2.391
Mg 5.793 3.742 6.436
Mg 4.881 1.994 0.749
Mg 7.322 5.614 0.588
Mg 8.013 2.067 8.761
Mg 8.565 3.117 4.138
Si 4.013 6.025 7.228
Si 3.022 3.945 6.158
Si 3.274 1.076 9.978
Si 3.889 2.509 4.347
Si 4.812 4.817 1.521
Si 5.829 3.858 9.492
Si 5.033 1.781 8.403
Si 6.669 5.375 4.199
Si 5.797 3.392 3.188
Si 5.369 0.784 5.258
Si 7.818 4.757 8.343
Si 5.154 -0.060 2.919
Si 8.252 5.202 6.041
Si 6.211 -0.235 8.891
Si 7.513 1.498 6.075
Si 7.154 1.627 2.301
Si 8.452 3.194 0.956
Si 9.883 4.699 2.172
```

Calculated values
- symmetry = No. 1
- magnetization (μB/cell) = 0.00
- uncorrected formation energy (meV per atom) = 123
- distance to the lowest polymorph of the same formula (meV/atom) = 26
- density of states at the Fermi level (states/eV per atom) = 0.246